# 1
! La2MgSb3Pd4 (PBE, optimized geometry); values from VASP
! Electronic total energy ... -53.7 eV per cell
! V ... 226 Å³/cell
! Space-group type ... P-4m2 (115)
! Theoretical density ... 8.020 g/cm3
! Magnetization ... 0.0 μB per formula unit
&SYSTEM
  ibrav = 0, nat = 10, ntyp = 4
/
ATOMIC_SPECIES
La 138.91 La.upf
Mg 24.30 Mg.upf
Sb 121.76 Sb.upf
Pd 106.42 Pd.upf
CELL_PARAMETERS angstrom
4.5225 0.0000 0.0000
0.0000 4.5225 0.0000
0.0000 0.0000 11.0658
ATOMIC_POSITIONS crystal
La 0.0000 0.5000 0.2351
La 0.5000 0.0000 0.7649
Mg 0.0000 0.0000 0.5000
Sb 0.0000 0.5000 0.8657
Sb 0.5000 0.0000 0.1343
Sb 0.5000 0.5000 0.5000
Pd 0.0000 0.0000 0.0000
Pd 0.0000 0.5000 0.6304
Pd 0.5000 0.0000 0.3696
Pd 0.5000 0.5000 0.0000

# 2
! PmEr2Mn (PBE, optimized geometry); values from VASP
! E above lowest polymorph ... 0.412 eV/atom
! V ... 339 Å³/cell
! Space-group type ... R-3m (166)
! Theoretical density ... 7.850 g/cm3
! Magnetization ... 3.1 μB per formula unit
&SYSTEM
  ibrav = 0, nat = 12, ntyp = 3
/
ATOMIC_SPECIES
Pm 145.00 Pm.upf
Er 167.26 Er.upf
Mn 54.94 Mn.upf
CELL_PARAMETERS angstrom
3.3960 0.0000 0.0000
-1.6980 2.9410 0.0000
0.0000 0.0000 33.9574
ATOMIC_POSITIONS crystal
Pm 0.0000 0.0000 0.0000
Pm 0.3333 0.6667 0.6667
Pm 0.6667 0.3333 0.3333
Er 0.0000 0.0000 0.4193
Er 0.0000 0.0000 0.5807
Er 0.3333 0.6667 0.0860
Er 0.3333 0.6667 0.2474
Er 0.6667 0.3333 0.7526
Er 0.6667 0.3333 0.9140
Mn 0.0000 0.0000 0.5000
Mn 0.3333 0.6667 0.1667
Mn 0.6667 0.3333 0.8333

# 3
! TaNiIr (PBE, optimized geometry); values from VASP
! E above lowest polymorph ... 0.031 eV/atom
! V ... 88 Å³/cell
! Space-group type ... P2_1/m (11)
! Theoretical density ... 16.250 g/cm3
! Magnetization ... 0.0 μB per formula unit
&SYSTEM
  ibrav = 0, nat = 6, ntyp = 3
/
ATOMIC_SPECIES
Ta 180.95 Ta.upf
Ni 58.69 Ni.upf
Ir 192.22 Ir.upf
CELL_PARAMETERS angstrom
4.6588 0.0000 0.0000
0.0000 4.5291 0.0000
-2.1454 0.0000 4.1830
ATOMIC_POSITIONS crystal
Ta 0.0080 0.2500 0.2256
Ta 0.9920 0.7500 0.7744
Ni 0.3567 0.7500 0.4947
Ni 0.6433 0.2500 0.5053
Ir 0.3170 0.2500 0.8505
Ir 0.6830 0.7500 0.1495

# 4
! Nb2SnAu (PBE, optimized geometry); values from VASP
! Electronic total energy ... -28.0 eV per cell
! V ... 75 Å³/cell
! Space-group type ... P4/mmm (123)
! Theoretical density ... 11.140 g/cm3
! Magnetization ... 0.0 μB per formula unit
&SYSTEM
  ibrav = 0, nat = 4, ntyp = 3
/
ATOMIC_SPECIES
Nb 92.91 Nb.upf
Sn 118.71 Sn.upf
Au 196.97 Au.upf
CELL_PARAMETERS angstrom
4.0875 0.0000 0.0000
0.0000 4.0875 0.0000
0.0000 0.0000 4.4743
ATOMIC_POSITIONS crystal
Nb 0.0000 0.5000 0.0000
Nb 0.5000 0.0000 0.0000
Sn 0.0000 0.0000 0.5000
Au 0.5000 0.5000 0.5000